Entry 1:
The following is a DFT calculation (GGA-PBE) of a relaxed LuTiTc4 crystal.

abc: 5.2441 5.2441 5.2441
angles: 60.00 60.00 60.00
Positions (direct):
Ti  0.0000  0.0000  0.0000
Tc  0.6254  0.6254  0.6254
Tc  0.1237  0.6254  0.6254
Tc  0.6254  0.6254  0.1237
Tc  0.6254  0.1237  0.6254
Lu  0.2500  0.2500  0.2500

Properties
SG: F-43m, No. 216
Energy of formation from the pure elements: -0.17 eV per atom

Entry 2:
The following is a DFT calculation (GGA-PBE) of a relaxed OsBrF2 crystal.

abc: 10.6074 10.6074 10.6074
angles: 15.07 15.07 15.07
Last column: magnetic moment on the atom in μB.
Positions (direct):
Br  0.5000  0.5000  0.5000  0.10
F  0.9401  0.9401  0.9401  0.00
F  0.0599  0.0599  0.0599  0.00
Os  0.0000  0.0000  0.0000  0.00

Properties
SG: R-3m, No. 166
Formation energy (no corrections): -0.622 eV/atom

Entry 3:
The following is a DFT calculation (GGA-PBE) of a relaxed BaMgRh2 crystal.

abc: 5.6851 5.6851 5.6851
angles: 137.46 137.46 61.73
Positions (direct):
Rh  0.0000  0.0000  0.0000
Rh  0.2500  0.7500  0.5000
Ba  0.5000  0.5000  0.0000
Mg  0.7500  0.2500  0.5000

Properties
SG: I-4m2, No. 119
Energy of formation from the pure elements: 0.18 eV per atom

Entry 4:
The following is a DFT calculation (GGA-PBE) of a relaxed BaBiO3 crystal.

abc: 4.6268 4.6268 4.6268
angles: 90.00 90.00 90.00
Positions (direct):
O  0.0000  0.0000  0.5000
O  0.0000  0.5000  0.0000
Ba  0.0000  0.0000  0.0000
O  0.5000  0.0000  0.0000
Bi  0.5000  0.5000  0.5000

Properties
SG: Pm-3m, No. 221
Formation energy (no corrections): -0.277 eV/atom

Entry 5:
The following is a DFT calculation (GGA-PBE) of a relaxed SiSb2Br crystal.

abc: 5.2239 5.2340 5.2264
angles: 69.78 72.06 110.20
Positions (direct):
Sb  0.0000  0.0000  0.0000
Si  0.0000  0.5000  0.5000
Br  0.5000  0.5000  0.0000
Sb  0.5000  0.0000  0.5000

Properties
SG: Fmmm, No. 69
Formation energy (no corrections): 0.347 eV/atom

Entry 6:
The following is a DFT calculation (GGA-PBE) of a relaxed LaHoGa2Ru2 crystal.

abc: 4.3440 4.3440 7.6749
angles: 90.00 90.00 120.00
Positions (direct):
Ru  0.6667  0.3333  0.2692
Ga  0.6667  0.3333  0.7225
Ho  0.0000  0.0000  0.5000
Ga  0.3333  0.6667  0.2775
Ru  0.3333  0.6667  0.7308
La  0.0000  0.0000  0.0000

Properties
SG: P-3m1, No. 164
Energy of formation from the pure elements: -0.47 eV per atom

VASP energy readings, ordered: -9.149, -4.784, -4.378, -4.412, -3.488, -6.160 eV/atom
Magnetic moment readings, ordered: 0.00, 0.13, 0.00, 0.00, 0.00, 0.00 μB/cell
Density readings, ordered: 10.0, 7.3, 7.3, 6.6, 5.3, 8.5 g/cm³